Below is an optimized crystal structure of AcPr4NdTm2, with properties calculated at the GGA-PBE level.

Unit cell a=6.387 b=6.387 c=10.478 alpha=114.33 beta=114.33 gamma=48.20
Atoms (fractional coordinates):
Ac  0.000  0.000  0.000
Pr  0.248  0.248  0.871
Pr  0.251  0.251  0.378
Pr  0.749  0.749  0.622
Pr  0.752  0.752  0.129
Nd  0.000  0.000  0.500
Tm  0.499  0.499  0.255
Tm  0.501  0.501  0.745

Calculated values
The volume is 284 Å³/cell. For the formation energy, the calculation gives 0.032 eV per atom. Its crystal system is monoclinic.


Below is an optimized crystal structure of AcPr2Nd5Tm, with properties calculated at the GGA-PBE level.

Unit cell a=10.247 b=10.247 c=10.247 alpha=127.62 beta=127.62 gamma=77.24
Atoms (fractional coordinates):
Ac  0.250  0.250  0.000
Ac  0.750  0.750  0.000
Pr  0.117  0.617  0.735
Pr  0.383  0.117  0.500
Pr  0.617  0.883  0.500
Pr  0.883  0.383  0.265
Nd  0.000  0.000  0.000
Nd  0.071  0.159  0.500
Nd  0.159  0.659  0.088
Nd  0.341  0.429  0.500
Nd  0.429  0.929  0.088
Nd  0.500  0.500  0.000
Nd  0.571  0.071  0.912
Nd  0.659  0.571  0.500
Nd  0.841  0.341  0.912
Nd  0.929  0.841  0.500
Tm  0.250  0.750  0.500
Tm  0.750  0.250  0.500

Calculated values
The volume is 655 Å³/cell. For the formation energy, the calculation gives 0.256 eV per atom. Its crystal system is tetragonal.


Below is an optimized crystal structure of AcPrNd2Tm5, with properties calculated at the GGA-PBE level.

Unit cell a=10.019 b=10.019 c=10.019 alpha=128.05 beta=128.05 gamma=76.55
Atoms (fractional coordinates):
Ac  0.250  0.250  0.000
Ac  0.750  0.750  0.000
Pr  0.250  0.750  0.500
Pr  0.750  0.250  0.500
Nd  0.117  0.617  0.735
Nd  0.383  0.117  0.500
Nd  0.617  0.883  0.500
Nd  0.883  0.383  0.265
Tm  0.000  0.000  0.000
Tm  0.075  0.161  0.500
Tm  0.161  0.661  0.086
Tm  0.339  0.425  0.500
Tm  0.425  0.925  0.086
Tm  0.500  0.500  0.000
Tm  0.575  0.075  0.914
Tm  0.661  0.575  0.500
Tm  0.839  0.339  0.914
Tm  0.925  0.839  0.500

Calculated values
The volume is 606 Å³/cell. For the formation energy, the calculation gives 0.245 eV per atom. Its crystal system is tetragonal.